Crystalline V2AsF at its relaxed geometry. Source: Alexandria via LeMat-Bulk, functional PBE+U.

a = 4.4210 Å, b = 4.4210 Å, c = 4.4210 Å
α = 60.00°, β = 60.00°, γ = 60.00°
Element x y z (fractional)
As: 0.5000 0.5000 0.5000
V: 0.2500 0.2500 0.2500
V: 0.7500 0.7500 0.7500
F: 0.0000 0.0000 0.0000

Summary:
* V: 15.28 A^3/atom
* total moment: 6.00 Bohr magnetons per cell
* DFT total energy: -5.5587 eV/atom
* relative energy among the computed polymorphs: 0.121 eV/atom